Record 1
Density functional theory data (PBE) for crystalline TaCrCo2 at its relaxed geometry.

Unit cell a=8.546 b=2.689 c=4.520 alpha=90.00 beta=100.62 gamma=90.00
Space group Cm (No. 8)
Inequivalent atoms, fractional coordinates:
Ta1 0.000 0.000 0.000 x2
Cr1 0.234 0.000 0.668 x2
Co1 0.255 0.500 0.226 x2
Co2 0.496 0.000 0.500 x2

Calculated values
Its calculated volume is 102 Å³/cell. The value obtained for the formation energy is 78 meV per atom. The value obtained for the magnetization is 1.18 μB/cell. For the density of states at the Fermi level, the calculation gives 10.97 states/eV per cell.

Record 2
Density functional theory data (PBE) for crystalline La2CoSn2 at its relaxed geometry.

Unit cell a=4.042 b=4.042 c=17.685 alpha=90.00 beta=90.00 gamma=90.00
Space group I4/mmm (No. 139)
Inequivalent atoms, fractional coordinates:
La1 0.000 0.000 0.091 x4
Co1 0.000 0.000 0.500 x2
Sn1 0.000 0.500 0.250 x4

Calculated values
Its calculated volume is 289 Å³/cell. The value obtained for the formation energy is 28 meV per atom. The value obtained for the magnetization is 1.22 μB/cell. For the density of states at the Fermi level, the calculation gives 10.90 states/eV per cell.

Record 3
Density functional theory data (PBE) for crystalline CeRuC at its relaxed geometry.

Unit cell a=9.949 b=3.533 c=5.900 alpha=90.00 beta=108.17 gamma=90.00
Space group C2/m (No. 12)
Inequivalent atoms, fractional coordinates:
Ce1 0.097 0.000 0.325 x4
Ru1 0.160 0.500 0.864 x4
C1 0.229 0.000 0.766 x4

Calculated values
Its calculated volume is 197 Å³/cell. The value obtained for the formation energy is -147 meV per atom. The value obtained for the magnetization is 0.00 μB/cell. For the density of states at the Fermi level, the calculation gives 11.12 states/eV per cell.

Record 4
Density functional theory data (PBE) for crystalline MoOs3Cl at its relaxed geometry.

Unit cell a=4.796 b=4.796 c=4.796 alpha=90.00 beta=90.00 gamma=90.00
Space group Pm-3m (No. 221)
Inequivalent atoms, fractional coordinates:
Mo1 0.000 0.000 0.000 x1
Os1 0.000 0.000 0.500 x3
Cl1 0.500 0.500 0.500 x1

Calculated values
Its calculated volume is 110 Å³/cell. For the formation energy without anion corrections, the calculation gives 2.497 eV/atom. The value obtained for the magnetization is 4.56 μB/cell. For the density of states at the Fermi level, the calculation gives 4.10 states/eV per cell.